Material: Cs3HfTc
Method: DFT, GGA-PBE
State: relaxed

Unit cell a=5.9737 b=5.9737 c=5.9737 alpha=90.00 beta=90.00 gamma=90.00
Positions (direct):
Cs: 0.0000 0.5000 0.0000
Cs: 0.0000 0.0000 0.5000
Cs: 0.5000 0.0000 0.0000
Hf: 0.5000 0.5000 0.5000
Tc: 0.0000 0.0000 0.0000

Computed properties:
- Total magnetic moment: 0.22 μB per cell
- Space-group type: Pm-3m (221)
- ΔE_f: 2101 meV per atom